(1)
Compound: LiLuCd
Source: the Alexandria database
Functional: PBE
Structure: optimized geometry

Calculated values
- DOS at the Fermi energy: 1.3 states/eV/cell
- Formation energy: -0.130 eV per atom

a = 4.9388 Å, b = 4.9388 Å, c = 3.1876 Å
α = 90.00°, β = 90.00°, γ = 120.00°
Space group P-6m2 (No. 187)
Inequivalent atoms, fractional coordinates:
Li 0.0000 0.0000 0.0000 [1 per cell]
Lu 0.6667 0.3333 0.5000 [1 per cell]
Cd 0.3333 0.6667 0.0000 [1 per cell]

---

(2)
Compound: TbSm3Sc
Source: the Alexandria database
Functional: PBE
Structure: optimized geometry

Calculated values
- DOS at the Fermi energy: 28.5 states/eV/cell
- Formation energy: 0.040 eV per atom

a = 18.038 Å, b = 5.010 Å, c = 7.081 Å
α = 90.00°, β = 100.81°, γ = 90.00°
Space group C2/m (No. 12)
Inequivalent atoms, fractional coordinates:
Tb 0.101 0.000 0.050 [4 per cell]
Sm 0.003 0.500 0.253 [4 per cell]
Sm 0.105 0.000 0.549 [4 per cell]
Sm 0.202 0.500 0.846 [4 per cell]
Sc 0.202 0.500 0.353 [4 per cell]

---

(3)
Compound: Sc2In2Sb
Source: the Alexandria database
Functional: PBE
Structure: optimized geometry

Calculated values
- DOS at the Fermi energy: 9.9 states/eV/cell
- Formation energy without anion corrections: -270 meV/atom

a = 7.691 Å, b = 7.691 Å, c = 4.164 Å
α = 90.00°, β = 90.00°, γ = 90.00°
Space group P4/mbm (No. 127)
Inequivalent atoms, fractional coordinates:
Sc 0.171 0.329 0.000 [4 per cell]
In 0.130 0.630 0.500 [4 per cell]
Sb 0.000 0.000 0.500 [2 per cell]

---

(4)
Compound: CdHgS2
Source: the Alexandria database
Functional: PBE
Structure: optimized geometry

Calculated values
- DOS at the Fermi energy: 0.0 states/eV/cell
- Formation energy without anion corrections: -382 meV/atom

a = 7.308 Å, b = 4.222 Å, c = 6.869 Å
α = 90.00°, β = 90.04°, γ = 90.00°
Space group Cm (No. 8)
Inequivalent atoms, fractional coordinates:
Cd 0.000 0.000 0.000 [2 per cell]
Hg 0.168 0.500 0.503 [2 per cell]
S 0.001 0.000 0.375 [2 per cell]
S 0.167 0.500 0.881 [2 per cell]

---

(5)
Compound: U3Tl3HgTe8
Source: the Alexandria database
Functional: PBE
Structure: optimized geometry

Calculated values
- DOS at the Fermi energy: 19.6 states/eV/cell
- Formation energy without anion corrections: -428 meV/atom

a = 8.694 Å, b = 8.722 Å, c = 9.412 Å
α = 65.20°, β = 65.17°, γ = 64.33°
Space group P-1 (No. 2)
Inequivalent atoms, fractional coordinates:
U 0.000 0.000 0.000 [1 per cell]
U 0.000 0.500 0.000 [1 per cell]
U 0.500 0.000 0.000 [1 per cell]
Tl 0.000 0.500 0.500 [1 per cell]
Tl 0.500 0.000 0.500 [1 per cell]
Tl 0.500 0.500 0.500 [1 per cell]
Hg 0.500 0.500 0.000 [1 per cell]
Te 0.204 0.761 0.773 [2 per cell]
Te 0.238 0.798 0.228 [2 per cell]
Te 0.241 0.240 0.782 [2 per cell]
Te 0.283 0.283 0.198 [2 per cell]

---

(6)
Compound: TlHgICl2
Source: the Alexandria database
Functional: PBE
Structure: optimized geometry

Calculated values
- DOS at the Fermi energy: 1.1 states/eV/cell
- Formation energy without anion corrections: -564 meV/atom

a = 5.340 Å, b = 5.340 Å, c = 5.980 Å
α = 90.00°, β = 90.00°, γ = 90.00°
Space group P4/mmm (No. 123)
Inequivalent atoms, fractional coordinates:
Tl 0.000 0.000 0.000 [1 per cell]
Hg 0.500 0.500 0.500 [1 per cell]
I 0.500 0.500 0.000 [1 per cell]
Cl 0.000 0.500 0.500 [2 per cell]

---

(7)
Compound: CsKMg6
Source: the Alexandria database
Functional: PBE
Structure: optimized geometry

Calculated values
- DOS at the Fermi energy: 8.7 states/eV/cell
- Formation energy: 0.207 eV per atom

a = 5.074 Å, b = 6.119 Å, c = 21.471 Å
α = 90.00°, β = 90.00°, γ = 90.00°
Space group Amm2 (No. 38)
Inequivalent atoms, fractional coordinates:
Cs 0.000 0.000 0.000 [2 per cell]
K 0.000 0.000 0.640 [2 per cell]
Mg 0.000 0.246 0.322 [4 per cell]
Mg 0.500 0.000 0.377 [2 per cell]
Mg 0.500 0.000 0.861 [2 per cell]
Mg 0.500 0.242 0.236 [4 per cell]

---

(8)
Compound: Nd2HgGe3Pt4
Source: the Alexandria database
Functional: PBE
Structure: optimized geometry

Calculated values
- DOS at the Fermi energy: 5.5 states/eV/cell
- Formation energy: -0.791 eV per atom

a = 4.362 Å, b = 4.362 Å, c = 10.638 Å
α = 90.00°, β = 90.00°, γ = 90.00°
Space group P-4m2 (No. 115)
Inequivalent atoms, fractional coordinates:
Nd 0.000 0.500 0.246 [2 per cell]
Hg 0.000 0.000 0.500 [1 per cell]
Ge 0.000 0.500 0.877 [2 per cell]
Ge 0.500 0.500 0.500 [1 per cell]
Pt 0.000 0.000 0.000 [1 per cell]
Pt 0.000 0.500 0.651 [2 per cell]
Pt 0.500 0.500 0.000 [1 per cell]

---

(9)
Compound: Pr2DyAl9
Source: the Alexandria database
Functional: PBE
Structure: optimized geometry

Calculated values
- DOS at the Fermi energy: 16.9 states/eV/cell
- Formation energy: -0.346 eV per atom

a = 5.6648 Å, b = 5.6648 Å, c = 26.5634 Å
α = 90.00°, β = 90.00°, γ = 120.00°
Space group R-3m (No. 166, hexagonal axes)
Inequivalent atoms, fractional coordinates:
Pr 0.0000 0.0000 0.1416 [6 per cell]
Dy 0.0000 0.0000 0.0000 [3 per cell]
Al 0.0000 0.0000 0.3351 [6 per cell]
Al 0.0000 0.0000 0.5000 [3 per cell]
Al 0.0070 0.5035 0.9182 [18 per cell]

---

(10)
Compound: Li2SiPd8
Source: the Alexandria database
Functional: PBE
Structure: optimized geometry

Calculated values
- DOS at the Fermi energy: 19.1 states/eV/cell
- Formation energy without anion corrections: -328 meV/atom

a = 4.398 Å, b = 5.687 Å, c = 13.233 Å
α = 90.00°, β = 90.00°, γ = 90.00°
Space group Immm (No. 71)
Inequivalent atoms, fractional coordinates:
Li 0.000 0.000 0.192 [4 per cell]
Si 0.000 0.000 0.500 [2 per cell]
Pd 0.000 0.245 0.000 [4 per cell]
Pd 0.000 0.263 0.364 [8 per cell]
Pd 0.000 0.500 0.181 [4 per cell]

---

(11)
Compound: Ac2MgGe7
Source: the Alexandria database
Functional: PBE
Structure: optimized geometry

Calculated values
- DOS at the Fermi energy: 4.6 states/eV/cell
- Formation energy: -0.285 eV per atom

a = 4.522 Å, b = 4.522 Å, c = 11.642 Å
α = 90.00°, β = 90.00°, γ = 90.00°
Space group P-4m2 (No. 115)
Inequivalent atoms, fractional coordinates:
Ac 0.000 0.500 0.240 [2 per cell]
Mg 0.000 0.000 0.500 [1 per cell]
Ge 0.000 0.000 0.000 [1 per cell]
Ge 0.000 0.500 0.650 [2 per cell]
Ge 0.000 0.500 0.877 [2 per cell]
Ge 0.500 0.500 0.000 [1 per cell]
Ge 0.500 0.500 0.500 [1 per cell]

---

(12)
Compound: Cs3U2PaTe6
Source: the Alexandria database
Functional: PBE
Structure: optimized geometry

Calculated values
- DOS at the Fermi energy: 31.3 states/eV/cell
- Formation energy without anion corrections: -868 meV/atom

a = 7.800 Å, b = 13.511 Å, c = 9.461 Å
α = 90.00°, β = 105.94°, γ = 90.00°
Space group C2/m (No. 12)
Inequivalent atoms, fractional coordinates:
Cs 0.000 0.000 0.000 [2 per cell]
Cs 0.000 0.333 0.000 [4 per cell]
U 0.000 0.167 0.500 [4 per cell]
Pa 0.000 0.500 0.500 [2 per cell]
Te 0.230 0.335 0.695 [8 per cell]
Te 0.234 0.000 0.695 [4 per cell]

---

Question: Look up the DOS at the Fermi energy of the ninth one.
Answer: 16.9 states/eV/cell